No. 1
BiSe2Br2: relaxed, PBE-GGA.

The structure in POSCAR format:
```
BiSe2Br2
1.0
7.450 0.000 -0.304
3.725 7.377 -0.152
3.002 0.000 7.369
Bi Se Br
2 4 4
direct
0.165 0.669 0.000 Bi
0.835 0.331 0.000 Bi
0.912 0.000 0.258 Se
0.725 0.000 0.080 Se
0.275 0.000 0.920 Se
0.088 0.000 0.742 Se
0.553 0.439 0.762 Br
0.447 0.561 0.238 Br
0.992 0.561 0.762 Br
0.008 0.439 0.238 Br
```

Properties
Mass density = 4.25 g/cm³
ΔE_f (raw) = -0.338 eV per atom
M_tot = 0.00 μB per formula unit
Uncorrected energy = -31.8 eV per cell

---

No. 2
Bi4Se4Br3: relaxed, PBE-GGA.

The structure in POSCAR format:
```
Bi4Se4Br3
1.0
3.990 0.000 0.000
0.000 9.291 0.000
-1.995 -4.646 8.463
Bi Se Br
4 4 3
direct
0.232 0.732 0.463 Bi
0.768 0.268 0.537 Bi
0.500 0.764 0.000 Bi
0.500 0.236 0.000 Bi
0.334 0.139 0.667 Se
0.666 0.472 0.333 Se
0.666 0.861 0.333 Se
0.334 0.528 0.667 Se
0.100 0.100 0.199 Br
0.900 0.900 0.801 Br
0.000 0.500 0.000 Br
```

Properties
Mass density = 7.36 g/cm³
ΔE_f (raw) = -0.279 eV per atom
M_tot = 0.00 μB per formula unit
Uncorrected energy = -37.6 eV per cell

---

No. 3
Bi2SeBr2: relaxed, PBE-GGA.

The structure in POSCAR format:
```
Bi2SeBr2
1.0
7.694 0.000 0.000
0.000 7.694 0.000
0.000 0.000 4.987
Se Bi Br
2 4 4
direct
0.000 0.000 0.000 Se
0.500 0.500 0.000 Se
0.348 0.848 0.000 Bi
0.848 0.652 0.000 Bi
0.652 0.152 0.000 Bi
0.152 0.348 0.000 Bi
0.169 0.669 0.500 Br
0.669 0.831 0.500 Br
0.831 0.331 0.500 Br
0.331 0.169 0.500 Br
```

Properties
Mass density = 7.39 g/cm³
ΔE_f (raw) = -0.201 eV per atom
M_tot = 0.00 μB per formula unit
Uncorrected energy = -31.2 eV per cell

---

No. 4
Bi3Se4Br: relaxed, PBE-GGA.

The structure in POSCAR format:
```
Bi3Se4Br
1.0
-1.965 10.571 -0.699
-5.103 9.036 -2.901
-7.893 4.099 8.392
Bi Se Br
6 8 2
direct
0.088 0.088 0.042 Bi
0.912 0.912 0.958 Bi
0.673 0.673 0.263 Bi
0.327 0.327 0.737 Bi
0.152 0.152 0.585 Bi
0.848 0.848 0.415 Bi
0.414 0.414 0.491 Se
0.586 0.586 0.509 Se
0.686 0.686 0.984 Se
0.314 0.314 0.016 Se
0.077 0.077 0.276 Se
0.923 0.923 0.724 Se
0.254 0.254 0.357 Se
0.746 0.746 0.643 Se
0.457 0.457 0.166 Br
0.543 0.543 0.834 Br
```

Properties
Mass density = 6.97 g/cm³
ΔE_f (raw) = -0.428 eV per atom
M_tot = 0.00 μB per formula unit
Uncorrected energy = -61.4 eV per cell

---

No. 5
BiSe2Br8: relaxed, PBE-GGA.

The structure in POSCAR format:
```
BiSe2Br8
1.0
7.641 0.700 0.599
1.776 8.040 1.275
1.776 2.506 7.746
Bi Se Br
1 2 8
direct
0.000 0.000 0.000 Bi
0.438 0.150 0.150 Se
0.562 0.850 0.850 Se
0.781 0.168 0.721 Br
0.219 0.279 0.832 Br
0.704 0.208 0.208 Br
0.296 0.792 0.792 Br
0.781 0.721 0.168 Br
0.219 0.832 0.279 Br
0.201 0.305 0.305 Br
0.799 0.695 0.695 Br
```

Properties
Mass density = 3.82 g/cm³
ΔE_f (raw) = -0.197 eV per atom
M_tot = 1.00 μB per formula unit
Uncorrected energy = -26.4 eV per cell

---

No. 6
Bi2SeBr4: relaxed, PBE-GGA.

The structure in POSCAR format:
```
Bi2SeBr4
1.0
5.710 0.000 0.000
0.000 5.710 0.000
2.855 2.855 7.599
Se Bi Br
1 2 4
direct
0.000 0.000 0.000 Se
0.611 0.611 0.778 Bi
0.389 0.389 0.222 Bi
0.786 0.786 0.428 Br
0.214 0.214 0.572 Br
0.000 0.500 0.000 Br
0.500 0.000 0.000 Br
```

Properties
Mass density = 5.47 g/cm³
ΔE_f (raw) = 0.079 eV per atom
M_tot = 0.00 μB per formula unit
Uncorrected energy = -17.4 eV per cell

---

No. 7
TcBiSeBr2: relaxed, PBE-GGA.

The structure in POSCAR format:
```
TcBiSeBr2
1.0
-0.915 3.496 3.647
-4.595 -2.116 0.876
1.982 -2.936 3.311
Se Bi Br Tc
1 1 2 1
direct
0.000 0.000 0.500 Se
0.500 0.500 0.500 Bi
0.000 0.500 0.000 Br
0.500 0.000 0.000 Br
0.000 0.000 0.000 Tc
```

Properties
Mass density = 7.09 g/cm³
ΔE_f (raw) = 0.281 eV per atom
M_tot = 0.90 μB per formula unit
Uncorrected energy = -19.7 eV per cell
Excess energy over the best structure of this formula in the dataset = 0 meV per atom

---

No. 8
TcBiSeBr2: relaxed, PBE-GGA.

The structure in POSCAR format:
```
TcBiSeBr2
1.0
5.660 0.000 0.000
0.000 4.692 0.000
0.000 0.000 5.660
Se Bi Br Tc
1 1 2 1
direct
0.000 0.000 0.000 Se
0.500 0.500 0.500 Bi
0.000 0.000 0.500 Br
0.500 0.000 0.000 Br
0.000 0.500 0.000 Tc
```

Properties
Mass density = 6.03 g/cm³
ΔE_f (raw) = 0.831 eV per atom
M_tot = 1.19 μB per formula unit
Uncorrected energy = -16.9 eV per cell
Excess energy over the best structure of this formula in the dataset = 549 meV per atom